SiMoO2F PBE with a Hubbard U optimized geometry; final energy = -5.77 eV per atom; SG = P4/mmm, No. 123
1.0
4.0990 0.0000 0.0000
0.0000 4.0990 0.0000
0.0000 0.0000 4.1501
Mo Si O F
1 1 2 1
direct
0.0000 0.0000 0.0000
0.5000 0.5000 0.5000
0.0000 0.5000 0.0000
0.5000 0.0000 0.0000
0.0000 0.0000 0.5000